Entry 1:
Below is crystalline RbSiIO2 at its relaxed geometry, with properties calculated at the PBE-GGA level.

Structure (CIF):
```
data_RbSiIO2
_cell_length_a 4.174
_cell_length_b 4.174
_cell_length_c 5.421
_cell_angle_alpha 90.00
_cell_angle_beta 90.00
_cell_angle_gamma 90.00
_symmetry_space_group_name_H-M 'P 4/m m m'
_symmetry_Int_Tables_number 123
_symmetry_space_group_name_Hall '-P 4 2'
loop_
_atom_site_label
_atom_site_type_symbol
_atom_site_fract_x
_atom_site_fract_y
_atom_site_fract_z
Rb1 Rb 0.000 0.000 0.000
Si1 Si 0.500 0.500 0.500
I1 I 0.500 0.500 0.000
O1 O 0.000 0.500 0.500
```

Values from the calculation:
Magnetization, μB per atom: 0.05
Energy above the lowest structure with this stoichiometry, meV/atom: 0
Formation energy from raw total energies, eV/atom: -0.522
V, Å³ per atom: 18.89

Entry 2:
Below is crystalline RbSiI2O at its relaxed geometry, with properties calculated at the PBE-GGA level.

Structure (CIF):
```
data_RbSiI2O
_cell_length_a 6.199
_cell_length_b 6.199
_cell_length_c 3.636
_cell_angle_alpha 90.00
_cell_angle_beta 90.00
_cell_angle_gamma 90.00
_symmetry_space_group_name_H-M 'P 4/m m m'
_symmetry_Int_Tables_number 123
_symmetry_space_group_name_Hall '-P 4 2'
loop_
_atom_site_label
_atom_site_type_symbol
_atom_site_fract_x
_atom_site_fract_y
_atom_site_fract_z
Rb1 Rb 0.000 0.000 0.000
Si1 Si 0.500 0.500 0.500
I1 I 0.000 0.500 0.500
O1 O 0.500 0.500 0.000
```

Values from the calculation:
Magnetization, μB per atom: 0.00
Energy above the lowest structure with this stoichiometry, meV/atom: 0
Formation energy from raw total energies, eV/atom: -0.871
V, Å³ per atom: 27.95

Entry 3:
Below is crystalline Rb2SiI6O at its relaxed geometry, with properties calculated at the PBE-GGA level.

Structure (CIF):
```
data_Rb2SiI6O
_cell_length_a 7.382
_cell_length_b 7.382
_cell_length_c 13.331
_cell_angle_alpha 90.00
_cell_angle_beta 90.00
_cell_angle_gamma 90.00
_symmetry_space_group_name_H-M 'I 4/m m m'
_symmetry_Int_Tables_number 139
_symmetry_space_group_name_Hall '-I 4 2'
loop_
_atom_site_label
_atom_site_type_symbol
_atom_site_fract_x
_atom_site_fract_y
_atom_site_fract_z
Rb1 Rb 0.000 0.500 0.250
Si1 Si 0.000 0.000 0.000
I1 I 0.000 0.000 0.215
I2 I 0.238 0.238 0.500
O1 O 0.000 0.000 0.500
```

Values from the calculation:
Magnetization, μB per atom: 0.00
Formation energy from raw total energies, eV/atom: -0.503
V, Å³ per atom: 36.33